(1)
{"formula": "BaLa2Sn2Hg2", "functional": "PBE", "state": "relaxed", "lattice": [[5.226, 0.000, 0.000], [2.613, 4.526, 0.000], [2.613, 1.509, 9.824]], "species": ["La", "Sn", "La", "Ba", "Sn", "Hg", "Hg"], "frac_coords": [[0.133, 0.133, 0.602], [0.256, 0.256, 0.231], [0.867, 0.867, 0.398], [0.000, 0.000, 0.000], [0.744, 0.744, 0.769], [0.568, 0.568, 0.296], [0.432, 0.432, 0.704]], "delta_e_f_ev_per_fu": -3.21, "total_magnetization_mub_per_fu": 0.0}

---

(2)
{"formula": "NdCdPb", "functional": "PBE", "state": "relaxed", "lattice": [[-1.645, -0.076, 3.652], [-4.512, -0.281, -2.038], [2.511, -4.146, 1.044]], "species": ["Pb", "Nd", "Cd"], "frac_coords": [[0.269, 0.333, 0.667], [0.670, 0.667, 0.333], [0.061, 0.000, 0.000]], "delta_e_f_ev_per_fu": -1.08, "total_magnetization_mub_per_fu": 0.0}